Run P
Here is Y3Er3Tm2 after structural relaxation from Alexandria via LeMat-Bulk. Energies are from PBE.

The structure belongs to space group C2/m (No. 12); the cell edges are 16.0293, 5.6514 and 5.9689 Å and the angles 90.00°, 111.48° and 90.00°. The inequivalent atoms are Y at (0.0000, 0.0000, 0.0000), Y at (0.1327, 0.0000, 0.5756), Er at (0.0000, 0.5000, 0.5000), Er at (0.1320, 0.5000, 0.1881) and Tm at (0.2504, 0.0000, 0.1835).

The crystal system is monoclinic.

***

Run Q
Here is Y3Er3Tm2 after structural relaxation from Alexandria via LeMat-Bulk. Energies are from PBE.

The structure belongs to space group R32 (No. 155, hexagonal axes); the cell edges are 9.0514, 9.0514 and 11.0821 Å and the angles 90.00°, 90.00° and 120.00°. The inequivalent atoms are Y at (0.0000, 0.2508, 0.0000), Er at (0.0000, 0.7505, 0.5000) and Tm at (0.0000, 0.0000, 0.2513).

The crystal system is trigonal.

***

List of relative energies, unit meV per atom: run P 0; run Q 146

***

Run P
Here is Y5ErTm2 after structural relaxation from Alexandria via LeMat-Bulk. Energies are from PBE.

The structure belongs to space group C2/c (No. 15); the cell edges are 6.5947, 16.4901 and 9.4266 Å and the angles 90.00°, 95.73° and 90.00°. The inequivalent atoms are Y at (0.0000, 0.1524, 0.2500), Y at (0.0361, 0.2503, 0.9155), Y at (0.1683, 0.3820, 0.3906), Er at (0.0000, 0.4363, 0.7500) and Tm at (0.1716, 0.0527, 0.9198).

The crystal system is monoclinic.

***

Run Q
Here is Y5ErTm2 after structural relaxation from Alexandria via LeMat-Bulk. Energies are from PBE.

The structure belongs to space group Cmcm (No. 63); the cell edges are 5.4921, 11.8901 and 15.7711 Å and the angles 90.00°, 90.00° and 90.00°. The inequivalent atoms are Y at (0.0000, 0.0409, 0.2500), Y at (0.0000, 0.1211, 0.5478), Y at (0.0000, 0.4237, 0.5950), Er at (0.0000, 0.2327, 0.7500) and Tm at (0.0000, 0.2791, 0.1326).

The crystal system is orthorhombic.

***

List of relative energies, unit meV per atom: run P 19; run Q 0

***

Run P
Here is Y2ErTm9 after structural relaxation from Alexandria via LeMat-Bulk. Energies are from PBE.

The structure belongs to space group P6/mmm (No. 191); the cell edges are 11.0792, 11.0792 and 3.4552 Å and the angles 90.00°, 90.00° and 120.00°. The inequivalent atoms are Y at (0.3333, 0.6667, 0.0000), Er at (0.0000, 0.0000, 0.0000), Tm at (0.0000, 0.5000, 0.0000) and Tm at (0.1756, 0.3513, 0.5000).

The crystal system is hexagonal.

***

Run Q
Here is Y2ErTm9 after structural relaxation from Alexandria via LeMat-Bulk. Energies are from PBE.

The structure belongs to space group P4/mmm (No. 123); the cell edges are 4.9552, 4.9552 and 14.8655 Å and the angles 90.00°, 90.00° and 90.00°. The inequivalent atoms are Y at (0.0000, 0.0000, 0.1672), Er at (0.0000, 0.0000, 0.5000), Tm at (0.0000, 0.5000, 0.0000), Tm at (0.0000, 0.5000, 0.3346), Tm at (0.5000, 0.5000, 0.1674) and Tm at (0.5000, 0.5000, 0.5000).

The crystal system is tetragonal.

***

List of relative energies, unit meV per atom: run P 40; run Q 0

***

Run P
Here is Y2Er5Tm4 after structural relaxation from Alexandria via LeMat-Bulk. Energies are from PBE.

The structure belongs to space group C2/m (No. 12); the cell edges are 10.8877, 7.2755 and 9.1081 Å and the angles 90.00°, 106.61° and 90.00°. The inequivalent atoms are Y at (0.1457, 0.0000, 0.1227), Er at (0.0000, 0.0000, 0.5000), Er at (0.0706, 0.2791, 0.7805), Tm at (0.1667, 0.5000, 0.1204) and Tm at (0.1743, 0.5000, 0.4963).

The crystal system is monoclinic.

***

Run Q
Here is Y2Er5Tm4 after structural relaxation from Alexandria via LeMat-Bulk. Energies are from PBE.

The structure belongs to space group C2/m (No. 12); the cell edges are 23.5497, 3.4931 and 8.4649 Å and the angles 90.00°, 94.76° and 90.00°. The inequivalent atoms are Y at (0.2240, 0.0000, 0.3270), Er at (0.0000, 0.0000, 0.5000), Er at (0.1288, 0.5000, 0.5448), Er at (0.1844, 0.5000, 0.9722), Tm at (0.0387, 0.5000, 0.8434) and Tm at (0.0875, 0.0000, 0.1902).

The crystal system is monoclinic.

***

List of relative energies, unit meV per atom: run P 43; run Q 0

***

Run P
Here is Y2ErTm5 after structural relaxation from Alexandria via LeMat-Bulk. Energies are from PBE.

The structure belongs to space group P-1 (No. 2); the cell edges are 6.3892, 9.4745 and 9.6528 Å and the angles 106.77°, 103.24° and 107.40°. The inequivalent atoms are Y at (0.1408, 0.2358, 0.3432), Y at (0.2742, 0.5716, 0.6986), Er at (0.2738, 0.0621, 0.0064), Tm at (0.0026, 0.6815, 0.9899), Tm at (0.0092, 0.1443, 0.6501), Tm at (0.3235, 0.6376, 0.3762), Tm at (0.4631, 0.9877, 0.6760) and Tm at (0.4977, 0.6515, 0.0976).

The crystal system is triclinic.

***

Run Q
Here is Y2ErTm5 after structural relaxation from Alexandria via LeMat-Bulk. Energies are from PBE.

The structure belongs to space group I4mm (No. 107); the cell edges are 7.0200, 7.0200 and 9.9311 Å and the angles 90.00°, 90.00° and 90.00°. The inequivalent atoms are Y at (0.0000, 0.5000, 0.0000), Er at (0.0000, 0.0000, 0.0002), Tm at (0.0000, 0.0000, 0.4997) and Tm at (0.2501, 0.2501, 0.2499).

The crystal system is tetragonal.

***

List of relative energies, unit meV per atom: run P 94; run Q 0

***

Run P
Here is Y3ErTm5 after structural relaxation from Alexandria via LeMat-Bulk. Energies are from PBE.

The structure belongs to space group C2/c (No. 15); the cell edges are 18.0186, 6.2813 and 11.3590 Å and the angles 90.00°, 112.94° and 90.00°. The inequivalent atoms are Y at (0.0000, 0.0000, 0.0000), Y at (0.1713, 0.1760, 0.3685), Er at (0.0000, 0.1305, 0.7500), Tm at (0.0000, 0.3922, 0.2500), Tm at (0.1601, 0.3105, 0.0096) and Tm at (0.1677, 0.3001, 0.7128).

The crystal system is monoclinic.

***

Run Q
Here is Y3ErTm5 after structural relaxation from Alexandria via LeMat-Bulk. Energies are from PBE.

The structure belongs to space group C2/m (No. 12); the cell edges are 15.1166, 11.1881 and 9.9798 Å and the angles 90.00°, 130.71° and 90.00°. The inequivalent atoms are Y at (0.0000, 0.0000, 0.0000), Y at (0.0000, 0.5000, 0.5000), Y at (0.0118, 0.0000, 0.3123), Y at (0.0241, 0.5000, 0.8675), Er at (0.2490, 0.0000, 0.1054), Tm at (0.0000, 0.2391, 0.5000), Tm at (0.1583, 0.2491, 0.2556), Tm at (0.2179, 0.0000, 0.7296) and Tm at (0.2198, 0.5000, 0.5315).

The crystal system is monoclinic.

***

List of relative energies, unit meV per atom: run P 0; run Q 244

***

Run P
Here is YEr5Tm3 after structural relaxation from Alexandria via LeMat-Bulk. Energies are from PBE.

The structure belongs to space group C2/c (No. 15); the cell edges are 16.0490, 8.8034 and 10.8409 Å and the angles 90.00°, 132.10° and 90.00°. The inequivalent atoms are Y at (0.0000, 0.1677, 0.2500), Er at (0.0000, 0.2776, 0.7500), Er at (0.0971, 0.1184, 0.6209), Er at (0.1829, 0.2132, 0.1615), Tm at (0.0000, 0.5000, 0.0000) and Tm at (0.2152, 0.4575, 0.4648).

The crystal system is monoclinic.

***

Run Q
Here is YEr5Tm3 after structural relaxation from Alexandria via LeMat-Bulk. Energies are from PBE.

The structure belongs to space group C2/m (No. 12); the cell edges are 16.6636, 7.8683 and 12.0271 Å and the angles 90.00°, 130.33° and 90.00°. The inequivalent atoms are Y at (0.2345, 0.0000, 0.1283), Er at (0.0000, 0.3218, 0.0000), Er at (0.0643, 0.2074, 0.7795), Er at (0.1224, 0.0000, 0.5658), Er at (0.2020, 0.5000, 0.0727), Tm at (0.0000, 0.0000, 0.0000), Tm at (0.0000, 0.5000, 0.5000), Tm at (0.1225, 0.5000, 0.3186) and Tm at (0.1693, 0.0000, 0.3361).

The crystal system is monoclinic.

***

List of relative energies, unit meV per atom: run P 0; run Q 201

***

Run P
Here is Y4Er5Tm after structural relaxation from Alexandria via LeMat-Bulk. Energies are from PBE.

The structure belongs to space group P-1 (No. 2); the cell edges are 3.5402, 6.7251 and 13.8266 Å and the angles 82.71°, 89.96° and 75.10°. The inequivalent atoms are Y at (0.1193, 0.2979, 0.3072), Y at (0.1830, 0.1715, 0.7113), Er at (0.1844, 0.1258, 0.0834), Er at (0.4618, 0.5821, 0.1137), Er at (0.5000, 0.5000, 0.5000) and Tm at (0.0000, 0.0000, 0.5000).

The crystal system is triclinic.

***

Run Q
Here is Y4Er5Tm after structural relaxation from Alexandria via LeMat-Bulk. Energies are from PBE.

The structure belongs to space group I4mm (No. 107); the cell edges are 10.5489, 10.5489 and 5.8406 Å and the angles 90.00°, 90.00° and 90.00°. The inequivalent atoms are Y at (0.0000, 0.3207, 0.0000), Er at (0.0000, 0.0000, 0.2373), Er at (0.1883, 0.1883, 0.5010) and Tm at (0.0000, 0.0000, 0.7637).

The crystal system is tetragonal.

***

List of relative energies, unit meV per atom: run P 0; run Q 193

***

Run P
Here is YErTm6 after structural relaxation from Alexandria via LeMat-Bulk. Energies are from PBE.

The structure belongs to space group P-1 (No. 2); the cell edges are 6.4917, 6.6739 and 6.8038 Å and the angles 118.91°, 103.05° and 90.49°. The inequivalent atoms are Y at (0.0000, 0.0000, 0.0000), Er at (0.5000, 0.0000, 0.0000), Tm at (0.2323, 0.5738, 0.4813), Tm at (0.2508, 0.5512, 0.0004) and Tm at (0.2714, 0.0938, 0.5235).

The crystal system is triclinic.

***

Run Q
Here is YErTm6 after structural relaxation from Alexandria via LeMat-Bulk. Energies are from PBE.

The structure belongs to space group C2/m (No. 12); the cell edges are 6.4443, 11.5810 and 6.6703 Å and the angles 90.00°, 90.52° and 90.00°. The inequivalent atoms are Y at (0.0000, 0.0000, 0.0000), Er at (0.0000, 0.0000, 0.5000), Tm at (0.0062, 0.5000, 0.7494) and Tm at (0.1892, 0.2363, 0.7487).

The crystal system is monoclinic.

***

List of relative energies, unit meV per atom: run P 0; run Q 10

***

Run P
Here is Y4ErTm5 after structural relaxation from Alexandria via LeMat-Bulk. Energies are from PBE.

The structure belongs to space group P-1 (No. 2); the cell edges are 3.5322, 6.7014 and 13.8039 Å and the angles 97.28°, 90.05° and 104.82°. The inequivalent atoms are Y at (0.1200, 0.2019, 0.3066), Y at (0.1803, 0.3284, 0.7130), Er at (0.0000, 0.5000, 0.5000), Tm at (0.1851, 0.3741, 0.0829), Tm at (0.4631, 0.9181, 0.1128) and Tm at (0.5000, 0.0000, 0.5000).

The crystal system is triclinic.

***

Run Q
Here is Y4ErTm5 after structural relaxation from Alexandria via LeMat-Bulk. Energies are from PBE.

The structure belongs to space group I4 (No. 79); the cell edges are 10.0879, 10.0879 and 6.2945 Å and the angles 90.00°, 90.00° and 90.00°. The inequivalent atoms are Y at (0.0450, 0.3407, 0.0000), Er at (0.0000, 0.0000, 0.2295), Tm at (0.0000, 0.0000, 0.7702) and Tm at (0.1432, 0.2283, 0.5004).

The crystal system is tetragonal.

***

List of relative energies, unit meV per atom: run P 0; run Q 247